# 1
Computed, not measured: a geometry-optimized Mg2TeP structure at the GGA-PBE level of DFT.

Values from the calculation:
* ΔE_f (raw): -0.417 eV/atom
* space group: Imm2, No. 44
* total magnetic moment: 0.00 μB per formula unit
* volume: 23.356 Å³/atom

a b c (Å): 7.6808 7.6808 7.6808
angles (deg): 155.37 150.29 38.96
Closest atoms and distances in Å follow each position.
Fractional positions:
Mg (0.0000, 0.0000, 0.0000)  2 P 2.63
Mg (0.7016, 0.2016, 0.5000)  4 P 2.70
Te (0.3848, 0.3848, 0.0000)  6 Mg 3.06-3.30, 2 Te 3.28
P (0.1420, 0.6420, 0.5000)  6 Mg 2.63-2.70

***

# 2
Computed, not measured: a geometry-optimized MgGa3Si structure at the GGA-PBE level of DFT.

Values from the calculation:
* ΔE_f (raw): 0.803 eV/atom
* space group: Pm-3m, No. 221
* total magnetic moment: 0.00 μB per formula unit
* volume: 25.373 Å³/atom

a b c (Å): 5.0247 5.0247 5.0247
angles (deg): 90.00 90.00 90.00
Closest atoms and distances in Å follow each position.
Fractional positions:
Mg (0.0000, 0.0000, 0.0000)  6 Ga 2.51
Ga (0.0000, 0.0000, 0.5000)  2 Mg 2.51
Ga (0.0000, 0.5000, 0.0000)  2 Mg 2.51
Ga (0.5000, 0.0000, 0.0000)  2 Mg 2.51
Si (0.5000, 0.5000, 0.5000)  12 Ga 3.55

***

# 3
Computed, not measured: a geometry-optimized RbRhSe2 structure at the GGA-PBE level of DFT.

Values from the calculation:
* ΔE_f (raw): -0.274 eV/atom
* space group: Cmcm, No. 63
* total magnetic moment: 0.00 μB per formula unit
* volume: 24.502 Å³/atom

a b c (Å): 11.6149 11.6149 5.4748
angles (deg): 90.00 90.00 164.61
Closest atoms and distances in Å follow each position.
Fractional positions:
Rb (0.1771, 0.8229, 0.7500)  2 Rb 3.11, 6 Se 3.15-3.48
Rb (0.8229, 0.1771, 0.2500)  2 Rb 3.11, 6 Se 3.15-3.48
Rh (0.4380, 0.5620, 0.7500)  2 Se 2.39-2.45
Rh (0.5620, 0.4380, 0.2500)  2 Se 2.39-2.45
Se (0.3315, 0.6685, 0.7500)  1 Rh 2.45
Se (0.4581, 0.5419, 0.2500)  1 Rh 2.39
Se (0.5419, 0.4581, 0.7500)  1 Rh 2.39
Se (0.6685, 0.3315, 0.2500)  1 Rh 2.45

***

# 4
Computed, not measured: a geometry-optimized Zr2MoPt structure at the GGA-PBE level of DFT.

Values from the calculation:
* space group: P4mm, No. 99
* total magnetic moment: 0.00 μB per formula unit
* volume: 18.891 Å³/atom
* formation enthalpy at 0 K: -167 meV/atom

a b c (Å): 2.8714 2.8714 9.1650
angles (deg): 90.00 90.00 90.00
Closest atoms and distances in Å follow each position.
Fractional positions:
Zr (0.0000, 0.0000, 0.0000)  4 Zr 2.87, 4 Pt 2.98
Zr (0.5000, 0.5000, 0.2994)  4 Zr 2.87, 4 Mo 3.10
Mo (0.0000, 0.0000, 0.5556)  4 Pt 2.77, 4 Mo 2.87
Pt (0.5000, 0.5000, 0.7613)  4 Mo 2.77, 4 Pt 2.87, 4 Zr 2.98

***

Repeat the fourth record exactly.
Computed, not measured: a geometry-optimized Zr2MoPt structure at the GGA-PBE level of DFT.

Values from the calculation:
* space group: P4mm, No. 99
* total magnetic moment: 0.00 μB per formula unit
* volume: 18.891 Å³/atom
* formation enthalpy at 0 K: -167 meV/atom

a b c (Å): 2.8714 2.8714 9.1650
angles (deg): 90.00 90.00 90.00
Closest atoms and distances in Å follow each position.
Fractional positions:
Zr (0.0000, 0.0000, 0.0000)  4 Zr 2.87, 4 Pt 2.98
Zr (0.5000, 0.5000, 0.2994)  4 Zr 2.87, 4 Mo 3.10
Mo (0.0000, 0.0000, 0.5556)  4 Pt 2.77, 4 Mo 2.87
Pt (0.5000, 0.5000, 0.7613)  4 Mo 2.77, 4 Pt 2.87, 4 Zr 2.98

***

Which formula does entry 3 have? RbRhSe2